# 1
Below is an optimized crystal structure of KZrTiS2, with properties calculated at the PBE-GGA level.

Calculated values
- Electronic total energy: -5.283 eV/atom
- M_tot: 0.00 Bohr magnetons per cell

Structure (CIF):
```
data_KZrTiS2
_cell_length_a 4.967
_cell_length_b 4.967
_cell_length_c 4.826
_cell_angle_alpha 90.00
_cell_angle_beta 90.00
_cell_angle_gamma 90.00
_space_group_name_H-M_alt 'P 4/m m m'
_space_group_IT_number 123
_space_group_name_Hall '-P 4 2'
loop_
_atom_site_label
_atom_site_type_symbol
_atom_site_fract_x
_atom_site_fract_y
_atom_site_fract_z
K1 K 0.000 0.000 0.000
Zr1 Zr 0.500 0.500 0.000
Ti1 Ti 0.500 0.500 0.500
S1 S 0.000 0.500 0.500
```

***

# 2
Below is an optimized crystal structure of LiMo3Pd, with properties calculated at the PBE-GGA level.

Calculated values
- Excess energy over the best structure of this formula in the dataset: 0.000 eV per atom
- Electronic total energy: -6.770 eV/atom
- M_tot: 0.00 Bohr magnetons per cell
- Energy of formation: 111.0 kJ/mol of atoms

Structure (CIF):
```
data_LiMo3Pd
_cell_length_a 4.205
_cell_length_b 4.205
_cell_length_c 4.205
_cell_angle_alpha 90.00
_cell_angle_beta 90.00
_cell_angle_gamma 90.00
_space_group_name_H-M_alt 'P m -3 m'
_space_group_IT_number 221
_space_group_name_Hall '-P 4 2 3'
loop_
_atom_site_label
_atom_site_type_symbol
_atom_site_fract_x
_atom_site_fract_y
_atom_site_fract_z
Li1 Li 0.000 0.000 0.000
Mo1 Mo 0.000 0.000 0.500
Pd1 Pd 0.500 0.500 0.500
```

***

# 3
Below is an optimized crystal structure of NaNpScCl6, with properties calculated at the PBE-GGA level.

Calculated values
- Electronic total energy: -5.332 eV/atom
- M_tot: 10.00 Bohr magnetons per cell

Structure (CIF):
```
data_NaNpScCl6
_cell_length_a 6.7773
_cell_length_b 6.7773
_cell_length_c 12.6697
_cell_angle_alpha 90.00
_cell_angle_beta 90.00
_cell_angle_gamma 120.00
_space_group_name_H-M_alt 'P -3 1 c'
_space_group_IT_number 163
_space_group_name_Hall '-P 3 2c'
loop_
_atom_site_label
_atom_site_type_symbol
_atom_site_fract_x
_atom_site_fract_y
_atom_site_fract_z
Na1 Na 0.0000 0.0000 0.0000
Np1 Np 0.3333 0.6667 0.2500
Sc1 Sc 0.3333 0.6667 0.7500
Cl1 Cl 0.0251 0.3596 0.6323
```

***

Copy entry 2 word for word.
Below is an optimized crystal structure of LiMo3Pd, with properties calculated at the PBE-GGA level.

Calculated values
- Excess energy over the best structure of this formula in the dataset: 0.000 eV per atom
- Electronic total energy: -6.770 eV/atom
- M_tot: 0.00 Bohr magnetons per cell
- Energy of formation: 111.0 kJ/mol of atoms

Structure (CIF):
```
data_LiMo3Pd
_cell_length_a 4.205
_cell_length_b 4.205
_cell_length_c 4.205
_cell_angle_alpha 90.00
_cell_angle_beta 90.00
_cell_angle_gamma 90.00
_space_group_name_H-M_alt 'P m -3 m'
_space_group_IT_number 221
_space_group_name_Hall '-P 4 2 3'
loop_
_atom_site_label
_atom_site_type_symbol
_atom_site_fract_x
_atom_site_fract_y
_atom_site_fract_z
Li1 Li 0.000 0.000 0.000
Mo1 Mo 0.000 0.000 0.500
Pd1 Pd 0.500 0.500 0.500
```

***

> Number 1 is which compound?

KZrTiS2

***

> Which formula does entry 2 have?

LiMo3Pd

***

Please write out number 1 again, unchanged.
Below is an optimized crystal structure of KZrTiS2, with properties calculated at the PBE-GGA level.

Calculated values
- Electronic total energy: -5.283 eV/atom
- M_tot: 0.00 Bohr magnetons per cell

Structure (CIF):
```
data_KZrTiS2
_cell_length_a 4.967
_cell_length_b 4.967
_cell_length_c 4.826
_cell_angle_alpha 90.00
_cell_angle_beta 90.00
_cell_angle_gamma 90.00
_space_group_name_H-M_alt 'P 4/m m m'
_space_group_IT_number 123
_space_group_name_Hall '-P 4 2'
loop_
_atom_site_label
_atom_site_type_symbol
_atom_site_fract_x
_atom_site_fract_y
_atom_site_fract_z
K1 K 0.000 0.000 0.000
Zr1 Zr 0.500 0.500 0.000
Ti1 Ti 0.500 0.500 0.500
S1 S 0.000 0.500 0.500
```